# 1
# Pm6Tm5Sc2 | the Alexandria database | PBE | relaxed
# ΔE_f: 0.0661 eV/atom
# crystal system: orthorhombic
data_Pm6Tm5Sc2
_symmetry_space_group_name_H-M 'P 1'
_symmetry_Int_Tables_number 1
_symmetry_space_group_name_Hall 'P 1'
_cell_length_a 11.390
_cell_length_b 20.198
_cell_length_c 3.558
_cell_angle_alpha 90.00
_cell_angle_beta 90.00
_cell_angle_gamma 90.00
loop_
_atom_site_label
_atom_site_fract_x
_atom_site_fract_y
_atom_site_fract_z
Pm1 0.082 0.156 0.000
Pm2 0.167 0.882 0.500
Pm3 0.214 0.554 0.500
Pm4 0.286 0.054 0.500
Pm5 0.333 0.382 0.500
Pm6 0.418 0.656 0.000
Pm7 0.582 0.344 0.000
Pm8 0.667 0.618 0.500
Pm9 0.714 0.946 0.500
Pm10 0.786 0.446 0.500
Pm11 0.833 0.118 0.500
Pm12 0.918 0.844 0.000
Tm1 0.000 0.000 0.000
Tm2 0.057 0.421 0.000
Tm3 0.144 0.720 0.000
Tm4 0.356 0.220 0.000
Tm5 0.443 0.921 0.000
Tm6 0.500 0.500 0.000
Tm7 0.557 0.079 0.000
Tm8 0.644 0.780 0.000
Tm9 0.856 0.280 0.000
Tm10 0.943 0.579 0.000
Sc1 0.114 0.288 0.500
Sc2 0.386 0.788 0.500
Sc3 0.614 0.212 0.500
Sc4 0.886 0.712 0.500



# 2
# Sr2MnMo | the Alexandria database | PBE | relaxed
# ΔE_f: 1.1324 eV/atom
# crystal system: orthorhombic
# E above lowest polymorph: 0.665 eV/atom
data_Sr2MnMo
_symmetry_space_group_name_H-M 'P 1'
_symmetry_Int_Tables_number 1
_symmetry_space_group_name_Hall 'P 1'
_cell_length_a 3.280
_cell_length_b 4.779
_cell_length_c 6.817
_cell_angle_alpha 90.00
_cell_angle_beta 90.00
_cell_angle_gamma 90.00
loop_
_atom_site_label
_atom_site_fract_x
_atom_site_fract_y
_atom_site_fract_z
Sr1 0.000 0.000 0.244
Sr2 0.000 0.000 0.756
Mn1 0.500 0.500 0.500
Mo1 0.500 0.500 0.000



# 3
# Li2LaTmAu4 | the Alexandria database | PBE | relaxed
# ΔE_f: -0.7211 eV/atom
# crystal system: trigonal
data_Li2LaTmAu4
_symmetry_space_group_name_H-M 'P 1'
_symmetry_Int_Tables_number 1
_symmetry_space_group_name_Hall 'P 1'
_cell_length_a 9.607
_cell_length_b 9.607
_cell_length_c 9.607
_cell_angle_alpha 27.79
_cell_angle_beta 27.79
_cell_angle_gamma 27.79
loop_
_atom_site_label
_atom_site_fract_x
_atom_site_fract_y
_atom_site_fract_z
Li1 0.243 0.243 0.243
Li2 0.757 0.757 0.757
La1 0.000 0.000 0.000
Tm1 0.500 0.500 0.500
Au1 0.117 0.117 0.117
Au2 0.395 0.395 0.395
Au3 0.605 0.605 0.605
Au4 0.883 0.883 0.883



# 4
# TlI3F | the Alexandria database | PBE | relaxed
# uncorrected formation energy: 0.055 eV per atom
# crystal system: cubic
# E above lowest polymorph: 0.246 eV/atom
data_TlI3F
_symmetry_space_group_name_H-M 'P 1'
_symmetry_Int_Tables_number 1
_symmetry_space_group_name_Hall 'P 1'
_cell_length_a 6.013
_cell_length_b 6.013
_cell_length_c 6.013
_cell_angle_alpha 90.00
_cell_angle_beta 90.00
_cell_angle_gamma 90.00
loop_
_atom_site_label
_atom_site_fract_x
_atom_site_fract_y
_atom_site_fract_z
Tl1 0.000 0.000 0.000
I1 0.000 0.000 0.500
I2 0.000 0.500 0.000
I3 0.500 0.000 0.000
F1 0.500 0.500 0.500



# 5
# Nd2ThCuSe5 | the Alexandria database | PBE | relaxed
# uncorrected formation energy: -1.542 eV per atom
# crystal system: orthorhombic
data_Nd2ThCuSe5
_symmetry_space_group_name_H-M 'P 1'
_symmetry_Int_Tables_number 1
_symmetry_space_group_name_Hall 'P 1'
_cell_length_a 9.036
_cell_length_b 9.036
_cell_length_c 12.676
_cell_angle_alpha 90.00
_cell_angle_beta 90.00
_cell_angle_gamma 154.25
loop_
_atom_site_label
_atom_site_fract_x
_atom_site_fract_y
_atom_site_fract_z
Nd1 0.111 0.889 0.500
Nd2 0.117 0.883 0.847
Nd3 0.883 0.117 0.347
Nd4 0.889 0.111 0.000
Th1 0.177 0.823 0.178
Th2 0.823 0.177 0.678
Cu1 0.448 0.552 0.571
Cu2 0.552 0.448 0.071
Se1 0.014 0.986 0.167
Se2 0.303 0.697 0.848
Se3 0.315 0.685 0.507
Se4 0.344 0.656 0.172
Se5 0.494 0.506 0.899
Se6 0.506 0.494 0.399
Se7 0.656 0.344 0.672
Se8 0.685 0.315 0.007
Se9 0.697 0.303 0.348
Se10 0.986 0.014 0.667



# 6
# Rb2SmSe2O6 | the Alexandria database | PBE | relaxed
# uncorrected formation energy: -1.550 eV per atom
# crystal system: monoclinic
data_Rb2SmSe2O6
_symmetry_space_group_name_H-M 'P 1'
_symmetry_Int_Tables_number 1
_symmetry_space_group_name_Hall 'P 1'
_cell_length_a 5.826
_cell_length_b 5.826
_cell_length_c 7.512
_cell_angle_alpha 108.65
_cell_angle_beta 108.65
_cell_angle_gamma 65.81
loop_
_atom_site_label
_atom_site_fract_x
_atom_site_fract_y
_atom_site_fract_z
Rb1 0.204 0.204 0.153
Rb2 0.796 0.796 0.847
Sm1 0.000 0.000 0.500
Se1 0.424 0.424 0.764
Se2 0.576 0.576 0.236
O1 0.241 0.733 0.263
O2 0.257 0.257 0.568
O3 0.267 0.759 0.737
O4 0.733 0.241 0.263
O5 0.743 0.743 0.432
O6 0.759 0.267 0.737



# 7
# BaLiW | the Alexandria database | PBE | relaxed
# ΔE_f: 1.2365 eV/atom
# crystal system: orthorhombic
# E above lowest polymorph: 0.146 eV/atom
data_BaLiW
_symmetry_space_group_name_H-M 'P 1'
_symmetry_Int_Tables_number 1
_symmetry_space_group_name_Hall 'P 1'
_cell_length_a 6.274
_cell_length_b 6.274
_cell_length_c 6.274
_cell_angle_alpha 152.42
_cell_angle_beta 140.73
_cell_angle_gamma 48.66
loop_
_atom_site_label
_atom_site_fract_x
_atom_site_fract_y
_atom_site_fract_z
Ba1 0.000 0.000 0.000
Li1 0.708 0.708 0.000
W1 0.298 0.298 0.000



# 8
# Sc2BiPd9 | the Alexandria database | PBE | relaxed
# ΔE_f: -0.6543 eV/atom
# crystal system: tetragonal
data_Sc2BiPd9
_symmetry_space_group_name_H-M 'P 1'
_symmetry_Int_Tables_number 1
_symmetry_space_group_name_Hall 'P 1'
_cell_length_a 4.048
_cell_length_b 4.048
_cell_length_c 12.167
_cell_angle_alpha 90.00
_cell_angle_beta 90.00
_cell_angle_gamma 90.00
loop_
_atom_site_label
_atom_site_fract_x
_atom_site_fract_y
_atom_site_fract_z
Sc1 0.000 0.000 0.160
Sc2 0.000 0.000 0.840
Bi1 0.000 0.000 0.500
Pd1 0.000 0.500 0.000
Pd2 0.000 0.500 0.326
Pd3 0.000 0.500 0.674
Pd4 0.500 0.000 0.000
Pd5 0.500 0.000 0.326
Pd6 0.500 0.000 0.674
Pd7 0.500 0.500 0.165
Pd8 0.500 0.500 0.500
Pd9 0.500 0.500 0.835



# 9
# YTlZnCd2 | the Alexandria database | PBE | relaxed
# ΔE_f: 0.6133 eV/atom
# crystal system: tetragonal
data_YTlZnCd2
_symmetry_space_group_name_H-M 'P 1'
_symmetry_Int_Tables_number 1
_symmetry_space_group_name_Hall 'P 1'
_cell_length_a 5.986
_cell_length_b 5.986
_cell_length_c 5.530
_cell_angle_alpha 90.00
_cell_angle_beta 90.00
_cell_angle_gamma 90.00
loop_
_atom_site_label
_atom_site_fract_x
_atom_site_fract_y
_atom_site_fract_z
Y1 0.000 0.000 0.000
Tl1 0.500 0.500 0.500
Zn1 0.000 0.000 0.500
Cd1 0.000 0.500 0.000
Cd2 0.500 0.000 0.000



# 10
# BeCu2Ag2 | the Alexandria database | PBE | relaxed
# ΔE_f: 0.3879 eV/atom
# crystal system: tetragonal
# E above lowest polymorph: 0.172 eV/atom
data_BeCu2Ag2
_symmetry_space_group_name_H-M 'P 1'
_symmetry_Int_Tables_number 1
_symmetry_space_group_name_Hall 'P 1'
_cell_length_a 7.482
_cell_length_b 7.482
_cell_length_c 7.482
_cell_angle_alpha 154.80
_cell_angle_beta 154.80
_cell_angle_gamma 35.93
loop_
_atom_site_label
_atom_site_fract_x
_atom_site_fract_y
_atom_site_fract_z
Be1 0.000 0.000 0.000
Cu1 0.250 0.750 0.500
Cu2 0.750 0.250 0.500
Ag1 0.405 0.405 0.000
Ag2 0.595 0.595 0.000



# 11
# AgP2Cl | the Alexandria database | PBE | relaxed
# uncorrected formation energy: 0.643 eV per atom
# crystal system: tetragonal
# E above lowest polymorph: 0.760 eV/atom
data_AgP2Cl
_symmetry_space_group_name_H-M 'P 1'
_symmetry_Int_Tables_number 1
_symmetry_space_group_name_Hall 'P 1'
_cell_length_a 3.035
_cell_length_b 3.035
_cell_length_c 7.721
_cell_angle_alpha 90.00
_cell_angle_beta 90.00
_cell_angle_gamma 90.00
loop_
_atom_site_label
_atom_site_fract_x
_atom_site_fract_y
_atom_site_fract_z
Ag1 0.000 0.000 0.000
P1 0.500 0.500 0.226
P2 0.500 0.500 0.774
Cl1 0.000 0.000 0.500



- Number 4 is which compound?
  TlI3F